Entry 1:
## TbTm2In3Cu2Pt (GGA-PBE)

Data for a relaxed TbTm2In3Cu2Pt crystal.

a b c (Å): 3.9426 12.9804 7.4990
angles (deg): 90.00 90.00 90.00
With the nearest neighbours (Å) after each atom.
Space group Amm2 (No. 38)
Asymmetric unit:
Tb1 0.0000 0.0000 0.0000  4 Cu 3.03, 1 Pt 3.06, 6 In 3.16-3.32
Tm1 0.0000 0.2017 0.3936  4 Cu 3.00-3.01, 1 Pt 3.01, 6 In 3.17-3.31
In1 0.5000 0.0000 0.3296  2 Pt 2.79, 2 Cu 2.81
In2 0.5000 0.1329 0.7270  2 Cu 2.76-2.80, 2 Pt 2.81
Cu1 0.5000 0.1687 0.0956  3 In 2.76-2.81, 4 Tm 3.00-3.01, 2 Tb 3.03
Pt1 0.0000 0.0000 0.5922  6 In 2.79-2.81, 2 Tm 3.01, 1 Tb 3.06

Computed properties:
Energy, eV per atom: -4.495
M_tot, μB/atom: 0.001

=====

Entry 2:
## Tb2TmIn3CuPt2 (GGA-PBE)

Data for a relaxed Tb2TmIn3CuPt2 crystal.

a b c (Å): 3.7357 13.3780 7.7465
angles (deg): 90.00 90.00 90.00
With the nearest neighbours (Å) after each atom.
Space group Amm2 (No. 38)
Asymmetric unit:
Tb1 0.0000 0.2057 0.0000  4 Pt 3.00, 1 Cu 3.18, 6 In 3.19-3.36
Tm1 0.0000 0.0000 0.6170  4 Pt 2.96, 1 Cu 3.18, 2 In 3.19
In1 0.5000 0.0000 0.9506  2 Cu 2.72, 2 Pt 2.91
In2 0.5000 0.1269 0.3336  2 Cu 2.71, 2 Pt 2.92-2.97
Cu1 0.0000 0.0000 0.2067  6 In 2.71-2.72
Pt1 0.5000 0.1644 0.7047  3 In 2.91-2.97, 2 Tm 2.96, 4 Tb 3.00

Computed properties:
Energy, eV per atom: -5.035
M_tot, μB/atom: 0.000

=====

Entry 3:
## Tb2TmIn3Cu2Pt (GGA-PBE)

Data for a relaxed Tb2TmIn3Cu2Pt crystal.

a b c (Å): 3.9623 13.0323 7.5184
angles (deg): 90.00 90.00 90.00
With the nearest neighbours (Å) after each atom.
Space group Amm2 (No. 38)
Asymmetric unit:
Tb1 0.0000 0.2024 0.0000  4 Cu 3.03-3.04, 1 Pt 3.06, 6 In 3.18-3.34
Tm1 0.0000 0.0000 0.3941  4 Cu 3.01, 1 Pt 3.01, 6 In 3.19-3.32
In1 0.5000 0.0000 0.0614  2 Cu 2.79, 2 Pt 2.82
In2 0.5000 0.1319 0.6643  2 Cu 2.79-2.84, 2 Pt 2.80
Cu1 0.5000 0.1645 0.2979  3 In 2.79-2.84, 2 Tm 3.01, 4 Tb 3.03-3.04
Pt1 0.0000 0.0000 0.7943  6 In 2.80-2.82, 1 Tm 3.01, 2 Tb 3.06

Computed properties:
Energy, eV per atom: -4.515
M_tot, μB/atom: 0.000

=====

Entry 4:
## TbY2In3CuPt2 (GGA-PBE)

Data for a relaxed TbY2In3CuPt2 crystal.

a b c (Å): 3.7779 13.3829 7.7361
angles (deg): 90.00 90.00 90.00
With the nearest neighbours (Å) after each atom.
Space group Amm2 (No. 38)
Asymmetric unit:
Tb1 0.0000 0.0000 0.0000  4 Pt 3.00, 1 Cu 3.18, 2 In 3.21
Y1 0.0000 0.2055 0.3824  4 Pt 3.01, 1 Cu 3.18, 6 In 3.21-3.36
In1 0.5000 0.0000 0.3355  2 Cu 2.72, 2 Pt 2.94
In2 0.5000 0.1268 0.7145  2 Cu 2.72, 2 Pt 2.93-2.94
Cu1 0.0000 0.0000 0.5885  6 In 2.72
Pt1 0.5000 0.1662 0.0877  3 In 2.93-2.94, 2 Tb 3.00, 4 Y 3.01

Computed properties:
Energy, eV per atom: -5.463
M_tot, μB/atom: 0.000

=====

Entry 5:
## Tm3In3CuPt2 (GGA-PBE)

Data for a relaxed Tm3In3CuPt2 crystal.

a b c (Å): 7.7130 7.7130 3.6638
angles (deg): 90.00 90.00 120.00
With the nearest neighbours (Å) after each atom.
Space group P-62m (No. 189)
Asymmetric unit:
Tm1 0.0000 0.5907 0.0000  4 Pt 2.97, 1 Cu 3.16, 6 In 3.16-3.32
In1 0.0000 0.2566 0.5000  2 Cu 2.70, 2 Pt 2.91
Cu1 0.0000 0.0000 0.0000  6 In 2.70
Pt1 0.3333 0.6667 0.5000  3 In 2.91, 6 Tm 2.97

Computed properties:
Energy, eV per atom: -5.002
M_tot, μB/atom: 0.000

=====

Entry 6:
## Y2TmIn3CuPt2 (GGA-PBE)

Data for a relaxed Y2TmIn3CuPt2 crystal.

a b c (Å): 3.7229 13.3777 7.7491
angles (deg): 90.00 90.00 90.00
With the nearest neighbours (Å) after each atom.
Space group Amm2 (No. 38)
Asymmetric unit:
Y1 0.0000 0.2050 0.0000  4 Pt 3.00-3.01, 1 Cu 3.17, 6 In 3.19-3.35
Tm1 0.0000 0.0000 0.6165  4 Pt 2.96, 1 Cu 3.18, 2 In 3.18
In1 0.5000 0.0000 0.9498  2 Cu 2.72, 2 Pt 2.91
In2 0.5000 0.1275 0.3329  2 Cu 2.71, 2 Pt 2.92-2.96
Cu1 0.0000 0.0000 0.2066  6 In 2.71-2.72
Pt1 0.5000 0.1640 0.7039  3 In 2.91-2.96, 2 Tm 2.96, 4 Y 3.00-3.01

Computed properties:
Energy, eV per atom: -5.446
M_tot, μB/atom: 0.002

=====

Entry 7:
## YTm2In3CuPt2 (GGA-PBE)

Data for a relaxed YTm2In3CuPt2 crystal.

a b c (Å): 3.6910 13.4094 7.7062
angles (deg): 90.00 90.00 90.00
With the nearest neighbours (Å) after each atom.
Space group Amm2 (No. 38)
Asymmetric unit:
Y1 0.0000 0.0000 0.0000  4 Pt 3.01, 6 In 3.17-3.33, 1 Cu 3.17
Tm1 0.0000 0.2055 0.6157  4 Pt 2.96, 2 In 3.17, 1 Cu 3.17
In1 0.5000 0.0000 0.6659  2 Cu 2.69, 2 Pt 2.94
In2 0.5000 0.1278 0.2829  2 Cu 2.71, 2 Pt 2.89-2.93
Cu1 0.0000 0.0000 0.4117  6 In 2.69-2.71
Pt1 0.5000 0.1693 0.9090  3 In 2.89-2.94, 4 Tm 2.96, 2 Y 3.01

Computed properties:
Energy, eV per atom: -5.224
M_tot, μB/atom: 0.000

=====

Entry 8:
## YTm2In3Cu2Pt (GGA-PBE)

Data for a relaxed YTm2In3Cu2Pt crystal.

a b c (Å): 3.9498 12.9638 7.4858
angles (deg): 90.00 90.00 90.00
With the nearest neighbours (Å) after each atom.
Space group Amm2 (No. 38)
Asymmetric unit:
Y1 0.0000 0.0000 0.0000  4 Cu 3.03, 1 Pt 3.05, 6 In 3.16-3.32
Tm1 0.0000 0.2016 0.3945  4 Cu 3.00-3.01, 1 Pt 3.00, 6 In 3.17-3.31
In1 0.5000 0.0000 0.3294  2 Pt 2.79, 2 Cu 2.80
In2 0.5000 0.1330 0.7286  2 Cu 2.75-2.79, 2 Pt 2.81
Cu1 0.5000 0.1687 0.0965  3 In 2.75-2.80, 4 Tm 3.00-3.01, 2 Y 3.03
Pt1 0.0000 0.0000 0.5923  6 In 2.79-2.81, 2 Tm 3.00, 1 Y 3.05

Computed properties:
Energy, eV per atom: -4.704
M_tot, μB/atom: 0.000

=====

Entry 9:
## Rb2In4Cu4S9 (GGA-PBE)

Data for a relaxed Rb2In4Cu4S9 crystal.

a b c (Å): 13.8297 3.8966 16.0646
angles (deg): 90.00 108.39 90.00
With the nearest neighbours (Å) after each atom.
Space group C2/m (No. 12)
Asymmetric unit:
Rb1 0.0292 0.0000 0.2740  7 S 3.29-3.58, 2 Cu 3.65
In1 0.1508 0.5000 0.5449  6 S 2.66-2.89
In2 0.2323 0.0000 0.1023  6 S 2.62-2.80
Cu1 0.0519 0.5000 0.9472  3 S 2.25-2.35
Cu2 0.2494 0.0000 0.7316  4 S 2.28-2.46
S1 0.0000 0.0000 0.5000  4 In 2.78
S2 0.1163 0.5000 0.1248  2 Cu 2.25-2.46
S3 0.1399 0.0000 0.9325  2 Cu 2.35, 1 In 2.62
S4 0.1627 0.5000 0.7276  2 Cu 2.28
S5 0.2130 0.5000 0.4014  1 Cu 2.35

Computed properties:
Energy, eV per atom: -3.940

=====

Entry 10:
## RbInCuTe3 (GGA-PBE)

Data for a relaxed RbInCuTe3 crystal.

a b c (Å): 4.1141 16.4263 11.7621
angles (deg): 90.00 90.00 90.00
With the nearest neighbours (Å) after each atom.
Space group Cmcm (No. 63)
Asymmetric unit:
Rb1 0.0000 0.2476 0.2500  8 Te 3.73-4.14, 2 Cu 4.02, 2 Rb 4.11
In1 0.0000 0.5000 0.0000  6 Te 2.95-3.09
Cu1 0.0000 0.0419 0.7500  4 Te 2.63-2.65
Te1 0.0000 0.1226 0.5552  1 Cu 2.65, 2 In 2.95
Te2 0.0000 0.4417 0.7500  2 Cu 2.63

Computed properties:
Energy, eV per atom: -3.176

=====

Entry 11:
## RbTl3In3Cu4 (GGA-PBE)

Data for a relaxed RbTl3In3Cu4 crystal.

a b c (Å): 7.9919 7.9919 4.5169
angles (deg): 90.00 90.00 120.00
With the nearest neighbours (Å) after each atom.
Space group P-6m2 (No. 187)
Asymmetric unit:
Rb1 0.0000 0.0000 0.0000  6 Tl 3.50, 6 Cu 3.86
Tl1 0.3857 0.1929 0.5000  4 Cu 2.92-2.98
In1 0.0687 0.5344 0.0000  5 Cu 2.78-2.82
Cu1 0.2257 0.4515 0.5000  2 Cu 2.58, 4 In 2.82
Cu2 0.6667 0.3333 0.0000  3 In 2.78, 6 Tl 2.98

Computed properties:
Energy, eV per atom: -2.775

=====

Entry 12:
## InCuReSeS2 (GGA-PBE)

Data for a relaxed InCuReSeS2 crystal.

a b c (Å): 3.5459 14.0371 9.5566
angles (deg): 90.00 90.00 90.00
With the nearest neighbours (Å) after each atom.
Space group Cmcm (No. 63)
Asymmetric unit:
In1 0.0000 0.2446 0.2500  2 Se 3.09, 6 S 3.23-3.38, 2 Cu 3.30
Cu1 0.0000 0.4538 0.7500  2 S 2.24, 2 Se 2.46
Re1 0.0000 0.0000 0.0000  4 S 2.44, 2 Se 2.61
Se1 0.0000 0.0752 0.7500  2 Cu 2.46, 2 Re 2.61
S1 0.0000 0.3834 0.5393  1 Cu 2.24, 2 Re 2.44

Computed properties:
Energy, eV per atom: -5.177
M_tot, μB/atom: 0.156

=====

Entry 13:
## InCuReSe2S (GGA-PBE)

Data for a relaxed InCuReSe2S crystal.

a b c (Å): 3.5152 14.3185 9.2370
angles (deg): 90.00 90.00 90.00
With the nearest neighbours (Å) after each atom.
Space group Cmcm (No. 63)
Asymmetric unit:
In1 0.0000 0.2362 0.2500  2 S 3.00, 6 Se 3.08-3.22
Cu1 0.0000 0.0319 0.7500  2 S 2.25, 2 Se 2.40
Re1 0.0000 0.5000 0.0000  2 S 2.50, 4 Se 2.60
Se1 0.0000 0.1316 0.5411  1 Cu 2.40, 2 Re 2.60
S1 0.0000 0.4335 0.7500  2 Cu 2.25, 2 Re 2.50

Computed properties:
Energy, eV per atom: -5.055
M_tot, μB/atom: 0.023

=====

Entry 14:
## InCuReTe2S (GGA-PBE)

Data for a relaxed InCuReTe2S crystal.

a b c (Å): 3.8333 14.7855 9.3542
angles (deg): 90.00 90.00 90.00
With the nearest neighbours (Å) after each atom.
Space group Cmcm (No. 63)
Asymmetric unit:
In1 0.0000 0.2279 0.2500  2 S 3.07, 6 Te 3.13-3.39
Cu1 0.0000 0.0136 0.7500  2 S 2.25
Re1 0.0000 0.5000 0.0000  2 S 2.53, 4 Te 2.77
Te1 0.0000 0.1322 0.5479  1 Cu 2.58, 2 Re 2.77
S1 0.0000 0.4338 0.7500  2 Cu 2.25

Computed properties:
Energy, eV per atom: -4.804
M_tot, μB/atom: 0.144

=====

Entry 15:
## InCuReTeS2 (GGA-PBE)

Data for a relaxed InCuReTeS2 crystal.

a b c (Å): 3.3091 15.9169 9.8761
angles (deg): 90.00 90.00 90.00
With the nearest neighbours (Å) after each atom.
Space group Cmcm (No. 63)
Asymmetric unit:
In1 0.0000 0.2228 0.2500  4 S 3.19, 2 Cu 3.20, 2 In 3.31, 2 Te 3.52
Cu1 0.0000 0.4493 0.7500  2 S 2.23
Re1 0.0000 0.0000 0.0000  4 S 2.43
Te1 0.0000 0.0821 0.7500  2 Cu 2.68, 2 Re 2.79
S1 0.0000 0.3916 0.5438  1 Cu 2.23, 2 Re 2.43

Computed properties:
Energy, eV per atom: -5.071
M_tot, μB/atom: 0.001

=====

Entry 16:
## InCuReSe3 (GGA-PBE)

Data for a relaxed InCuReSe3 crystal.

a b c (Å): 3.4867 14.7495 9.5487
angles (deg): 90.00 90.00 90.00
With the nearest neighbours (Å) after each atom.
Space group Cmcm (No. 63)
Asymmetric unit:
In1 0.0000 0.2501 0.2500  8 Se 3.15-3.30, 2 In 3.49
Cu1 0.0000 0.0416 0.7500  4 Se 2.38-2.42
Re1 0.0000 0.5000 0.0000  6 Se 2.59-2.61
Se1 0.0000 0.1275 0.5387  1 Cu 2.38, 2 Re 2.59
Se2 0.0000 0.4278 0.7500  2 Cu 2.42, 2 Re 2.61

Computed properties:
Energy, eV per atom: -4.907
M_tot, μB/atom: 0.004

=====

Entry 17:
## InCu3ReSe4 (GGA-PBE)

Data for a relaxed InCu3ReSe4 crystal.

a b c (Å): 6.0090 6.0090 6.0090
angles (deg): 90.00 90.00 90.00
With the nearest neighbours (Å) after each atom.
Space group P-43m (No. 215)
Asymmetric unit:
In1 0.0000 0.0000 0.0000  4 Se 2.79
Cu1 0.0000 0.5000 0.5000  4 Se 2.55
Re1 0.5000 0.5000 0.5000  4 Se 2.41
Se1 0.2680 0.2680 0.2680  1 Re 2.41, 3 Cu 2.55

Computed properties:
Energy, eV per atom: -4.382
M_tot, μB/atom: 0.269

=====

Entry 18:
## InCuReTe2Se (GGA-PBE)

Data for a relaxed InCuReTe2Se crystal.

a b c (Å): 3.8318 14.9225 9.7243
angles (deg): 90.00 90.00 90.00
With the nearest neighbours (Å) after each atom.
Space group Cmcm (No. 63)
Asymmetric unit:
In1 0.0000 0.2390 0.2500  2 Se 3.16, 6 Te 3.28-3.39
Cu1 0.0000 0.0251 0.7500  2 Se 2.39, 2 Te 2.55
Re1 0.0000 0.5000 0.0000  2 Se 2.65, 4 Te 2.76
Te1 0.0000 0.1304 0.5434  1 Cu 2.55, 2 Re 2.76
Se1 0.0000 0.4293 0.7500  2 Cu 2.39, 2 Re 2.65

Computed properties:
Energy, eV per atom: -4.666
M_tot, μB/atom: 0.162

=====

Entry 19:
## InCu3ReTe4 (GGA-PBE)

Data for a relaxed InCu3ReTe4 crystal.

a b c (Å): 6.3641 6.3641 6.3641
angles (deg): 90.00 90.00 90.00
With the nearest neighbours (Å) after each atom.
Space group P-43m (No. 215)
Asymmetric unit:
In1 0.0000 0.0000 0.0000  4 Te 2.93
Cu1 0.0000 0.5000 0.5000  4 Te 2.70
Re1 0.5000 0.5000 0.5000  4 Te 2.58
Te1 0.2657 0.2657 0.2657  1 Re 2.58, 3 Cu 2.70

Computed properties:
Energy, eV per atom: -4.055
M_tot, μB/atom: 0.271

=====

Entry 20:
## InCuReW (GGA-PBE)

Data for a relaxed InCuReW crystal.

a b c (Å): 6.3329 6.3329 6.3329
angles (deg): 90.00 90.00 90.00
With the nearest neighbours (Å) after each atom.
Space group F-43m (No. 216)
Asymmetric unit:
In1 0.0000 0.0000 0.0000  4 Re 2.74, 4 Cu 2.74
Cu1 0.2500 0.2500 0.2500  4 W 2.74, 4 In 2.74
Re1 0.2500 0.2500 0.7500  4 In 2.74, 4 W 2.74
W1 0.0000 0.0000 0.5000  4 Re 2.74, 4 Cu 2.74

Computed properties:
Offset from the most stable computed form, eV per formula unit: 0.00
M_tot, μB/atom: 0.000